Entry 1:
A geometry-optimized In3IrI structure, computed with PBE-GGA.

a = 6.035 Å, b = 6.035 Å, c = 9.640 Å
α = 71.76°, β = 71.76°, γ = 90.00°
Positions (direct):
In: 0.142 0.882 0.236
In: 0.118 0.858 0.764
In: 0.118 0.378 0.764
In: 0.282 0.282 0.436
In: 0.718 0.718 0.564
In: 0.622 0.882 0.236
I: 0.625 0.125 0.750
I: 0.875 0.375 0.250
Ir: 0.000 0.000 0.000
Ir: 0.250 0.750 0.500

Output
- Calculated density: 7.0 g/cm3
- Total DFT energy (no corrections): -3.6293 eV/atom
- Formation energy from raw total energies: 96 meV/atom



Entry 2:
A geometry-optimized In3IrI structure, computed with PBE-GGA.

a = 8.547 Å, b = 8.547 Å, c = 8.547 Å
α = 50.82°, β = 50.82°, γ = 50.82°
Positions (direct):
In: 0.681 0.450 0.050
In: 0.050 0.681 0.450
In: 0.950 0.319 0.550
In: 0.550 0.950 0.319
In: 0.319 0.550 0.950
In: 0.450 0.050 0.681
Ir: 0.339 0.339 0.339
Ir: 0.661 0.661 0.661
I: 0.866 0.866 0.866
I: 0.134 0.134 0.134

Output
- Calculated density: 6.4 g/cm3
- Total DFT energy (no corrections): -3.7495 eV/atom
- Formation energy from raw total energies: -24 meV/atom



What is the total DFT energy (no corrections) in the first record?
-3.6293 eV/atom



Number 1 is which compound?
In3IrI